# CoTe2O5

CoTe2O5 after structural relaxation (PBE with a Hubbard U, the Alexandria database).

Results
**Total moment**: 3.02 μB/f.u.
**Space-group type**: P4_2/nbc
**Uncorrected energy**: -354.8 eV/cell

Lattice parameters (Å, degrees): 8.859 8.859 12.916 90.00 90.00 90.00
Site moments in Bohr magnetons follow the coordinates.
Positions (direct):
Co 0.500 0.000 0.000  2.75
Co 0.500 0.000 0.750  2.76
Co 0.500 0.000 0.250  2.76
Co 0.500 0.000 0.500  2.75
Co 0.000 0.500 0.750  2.76
Co 0.000 0.500 0.000  2.75
Co 0.000 0.500 0.250  2.76
Co 0.000 0.500 0.500  2.75
Te 0.286 0.319 0.135  0.00
Te 0.286 0.681 0.365  0.00
Te 0.319 0.714 0.865  0.00
Te 0.319 0.286 0.635  0.00
Te 0.681 0.286 0.865  0.00
Te 0.681 0.714 0.635  0.00
Te 0.714 0.319 0.365  0.00
Te 0.714 0.681 0.135  0.00
Te 0.786 0.181 0.135  0.00
Te 0.786 0.819 0.365  0.00
Te 0.819 0.786 0.865  0.00
Te 0.819 0.214 0.635  0.00
Te 0.181 0.786 0.635  0.00
Te 0.181 0.214 0.865  0.00
Te 0.214 0.181 0.365  0.00
Te 0.214 0.819 0.135  0.00
O 0.258 0.874 0.300  0.01
O 0.258 0.126 0.200  0.01
O 0.299 0.201 0.000  0.02
O 0.299 0.799 0.500  0.02
O 0.367 0.924 0.881  0.06
O 0.367 0.076 0.619  0.06
O 0.374 0.242 0.800  0.01
O 0.374 0.758 0.700  0.01
O 0.424 0.867 0.119  0.06
O 0.424 0.133 0.381  0.06
O 0.576 0.867 0.381  0.06
O 0.576 0.133 0.119  0.06
O 0.626 0.758 0.800  0.01
O 0.626 0.242 0.700  0.01
O 0.633 0.076 0.881  0.06
O 0.633 0.924 0.619  0.06
O 0.701 0.799 0.000  0.02
O 0.701 0.201 0.500  0.02
O 0.742 0.874 0.200  0.01
O 0.742 0.126 0.300  0.01
O 0.758 0.374 0.200  0.01
O 0.758 0.626 0.300  0.01
O 0.799 0.299 0.000  0.02
O 0.799 0.701 0.500  0.02
O 0.867 0.424 0.619  0.06
O 0.867 0.576 0.881  0.06
O 0.874 0.258 0.800  0.01
O 0.874 0.742 0.700  0.01
O 0.924 0.367 0.381  0.06
O 0.924 0.633 0.119  0.06
O 0.076 0.367 0.119  0.06
O 0.076 0.633 0.381  0.06
O 0.126 0.258 0.700  0.01
O 0.126 0.742 0.800  0.01
O 0.133 0.424 0.881  0.06
O 0.133 0.576 0.619  0.06
O 0.201 0.299 0.500  0.02
O 0.201 0.701 0.000  0.02
O 0.242 0.374 0.300  0.01
O 0.242 0.626 0.200  0.01